A geometry-optimized Pm4Pr5Ho2 structure, computed with PBE.

```
Pm4Pr5Ho2
1.0
9.0600 0.0000 0.0000
0.0000 3.5671 0.0000
-0.9129 0.0000 11.8780
Pm Pr Ho
4 5 2
direct
0.1579 0.0000 0.3897
0.2829 0.0000 0.9493
0.7171 0.0000 0.0507
0.8421 0.0000 0.6103
0.1936 0.5000 0.6670
0.4281 0.5000 0.2051
0.5000 0.5000 0.5000
0.5719 0.5000 0.7949
0.8064 0.5000 0.3330
0.0570 0.5000 0.1347
0.9430 0.5000 0.8653
```

Summary:
* uncorrected energy: -51.15 eV for the cell shown
* DOS at the Fermi energy: 17.17 states/eV/cell
* crystal system: monoclinic
* energy relative to the elements: 0.083 eV/atom